Compound: ZrNb2SbC
Source: Alexandria
Functional: PBE
Structure: optimized geometry

Cell: 4.9663 4.9663 5.3202 Å, 90.00 90.00 90.00°
Fractional coordinates of all 5 atoms:
1 Zr 0.0000 0.0000 0.0000
2 Nb 0.0000 0.5000 0.0000
3 Nb 0.5000 0.0000 0.0000
4 Sb 0.0000 0.0000 0.5000
5 C 0.5000 0.5000 0.5000

## Properties
Space group: P4/mmm
Calculated volume: 26.244 A^3/atom
E_form (uncorrected): 13.1 eV/f.u.

Compound: Pm6Ho5In
Source: Alexandria
Functional: PBE
Structure: optimized geometry

Cell: 9.4380 9.4380 9.4380 Å, 149.16 116.22 72.52°
Fractional coordinates of all 12 atoms:
1 Pm 0.0801 0.3342 0.7459
2 Pm 0.2452 0.0000 0.2452
3 Pm 0.4118 0.6658 0.7459
4 Pm 0.5882 0.3342 0.2541
5 Pm 0.7548 0.0000 0.7548
6 Pm 0.9199 0.6658 0.2541
7 Ho 0.1669 0.1669 0.0000
8 Ho 0.3355 0.8355 0.5000
9 Ho 0.5000 0.5000 0.0000
10 Ho 0.6645 0.1645 0.5000
11 Ho 0.8331 0.8331 0.0000
12 In 0.0000 0.5000 0.5000

## Properties
ΔH_f (0 K): -0.058 eV per atom
Space group: Immm
Calculated volume: 31.742 A^3/atom

Compound: Sr4PtN
Source: Alexandria
Functional: PBE
Structure: optimized geometry

Cell: 8.7921 8.7921 6.7840 Å, 108.10 108.10 118.08°
Fractional coordinates of all 12 atoms:
1 Sr 0.0559 0.6596 0.8525
2 Sr 0.2056 0.2767 0.7108
3 Sr 0.2767 0.2056 0.2108
4 Sr 0.3404 0.9441 0.6475
5 Sr 0.6596 0.0559 0.3525
6 Sr 0.7233 0.7944 0.7892
7 Sr 0.7944 0.7233 0.2892
8 Sr 0.9441 0.3404 0.1475
9 Pt 0.3720 0.6280 0.2500
10 Pt 0.6280 0.3720 0.7500
11 N 0.0748 0.9252 0.7500
12 N 0.9252 0.0748 0.2500

## Properties
Space group: C2/c
Calculated volume: 30.734 A^3/atom
E_form (uncorrected): -3.1 eV/f.u.

Compound: RbInSi
Source: Alexandria
Functional: PBE
Structure: optimized geometry

Cell: 3.9187 6.5072 8.1640 Å, 102.77 90.18 107.47°
Fractional coordinates of all 6 atoms:
1 Rb 0.0000 0.0000 0.0000
2 Rb 0.2258 0.4405 0.7600
3 In 0.5770 0.1490 0.3968
4 In 0.8910 0.7742 0.5049
5 Si 0.3468 0.6911 0.2137
6 Si 0.7325 0.4623 0.1791

## Properties
Space group: P1
Calculated volume: 32.188 A^3/atom
E_form (uncorrected): 0.2 eV/f.u.